(1)
This record from Alexandria describes a relaxed LiTbLuAg crystal. The functional is PBE-GGA.

a = 5.1169 Å, b = 5.1169 Å, c = 5.1169 Å
α = 60.00°, β = 60.00°, γ = 60.00°
Fractional positions:
Ag (0.5000, 0.5000, 0.5000)
Tb (0.2500, 0.2500, 0.2500)
Li (0.0000, 0.0000, 0.0000)
Lu (0.7500, 0.7500, 0.7500)

Results
Density of states at the Fermi level, states/eV/atom: 0.861
Crystal system: cubic
Total magnetic moment, μB/f.u.: 0.00
ΔH_f (0 K), meV per atom: -101

(2)
This record from Alexandria describes a relaxed LiLuThAg crystal. The functional is PBE-GGA.

a = 5.1879 Å, b = 5.1879 Å, c = 5.1879 Å
α = 60.00°, β = 60.00°, γ = 60.00°
Site moments in Bohr magnetons follow the coordinates.
Fractional positions:
Th (0.2500, 0.2500, 0.2500)  0.21
Lu (0.7500, 0.7500, 0.7500)  0.20
Li (0.0000, 0.0000, 0.0000)  0.02
Ag (0.5000, 0.5000, 0.5000)  0.04

Results
Density of states at the Fermi level, states/eV/atom: 1.383
Crystal system: cubic
Total magnetic moment, μB/f.u.: 0.79
ΔH_f (0 K), meV per atom: 61

(3)
This record from Alexandria describes a relaxed LiLuTlAg crystal. The functional is PBE-GGA.

a = 4.9487 Å, b = 4.9487 Å, c = 4.9487 Å
α = 60.00°, β = 60.00°, γ = 60.00°
Fractional positions:
Tl (0.0000, 0.0000, 0.0000)
Lu (0.7500, 0.7500, 0.7500)
Ag (0.5000, 0.5000, 0.5000)
Li (0.2500, 0.2500, 0.2500)

Results
Density of states at the Fermi level, states/eV/atom: 0.351
Crystal system: cubic
Total magnetic moment, μB/f.u.: 0.00
ΔH_f (0 K), meV per atom: -251